No. 1
## RuSI (PBE)

Data for a relaxed structure of RuSI.

Cell: 6.799 6.093 6.724 Å, 90.00 110.92 90.00°
Space group P2_1/c (No. 14)
Asymmetric unit:
1 Ru 0.203 0.042 0.247 x4
2 S 0.103 0.158 0.892 x4
3 I 0.368 0.650 0.139 x4

Calculated values
Formation energy from raw total energies = -0.318 eV per formula unit
Calculated volume = 260.21 Å³ per cell

No. 2
## CeNi6Sn2 (PBE)

Data for a relaxed structure of CeNi6Sn2.

Cell: 3.551 6.320 12.717 Å, 90.00 90.00 90.00°
Space group Immm (No. 71)
Asymmetric unit:
1 Ce 0.000 0.000 0.000 x2
2 Ni 0.000 0.187 0.500 x4
3 Ni 0.000 0.302 0.317 x8
4 Sn 0.000 0.500 0.138 x4

Calculated values
DFT formation energy = -11 kJ/mol of atoms
Calculated volume = 285.38 Å³ per cell